(1)
ZrMoAs2Se | GGA-PBEsol | relaxed

Output
* SG: No. 123
* total DFT energy (no corrections): -30.82 eV per cell

```
5
Lattice="5.085 0.000 0.000 0.000 5.085 0.000 0.000 0.000 5.040" Properties=species:S:1:pos:R:3 pbc="T T T"
Zr 0.000 0.000 0.000
Mo 2.543 2.543 2.520
As 0.000 2.543 0.000
As 2.543 0.000 0.000
Se 0.000 0.000 2.520
```

(2)
Mn2Ir | GGA-PBEsol | relaxed

Output
* E_form: 523 meV/atom
* SG: No. 141
* total DFT energy (no corrections): -55.56 eV per cell

```
6
Lattice="-1.685 1.685 6.655 1.685 -1.685 6.655 1.685 1.685 -6.655" Properties=species:S:1:pos:R:3 pbc="T T T"
Mn 1.685 0.843 0.573
Mn 1.685 0.843 2.755
Mn 0.000 0.843 3.900
Mn 0.000 0.843 6.082
Ir 1.685 -0.843 4.991
Ir 0.000 2.528 1.664
```

(3)
BeBSeBr2 | GGA-PBEsol | relaxed

Output
* SG: No. 123
* total DFT energy (no corrections): -14.66 eV per cell

```
5
Lattice="4.703 0.000 0.000 0.000 4.703 0.000 0.000 0.000 4.563" Properties=species:S:1:pos:R:3 pbc="T T T"
Be 0.000 0.000 0.000
B 2.351 2.351 2.281
Se 0.000 0.000 2.281
Br 0.000 2.351 0.000
Br 2.351 0.000 0.000
```

(4)
Li2BiB2O6 | GGA-PBEsol | relaxed

Output
* SG: No. 14
* total DFT energy (no corrections): -301.49 eV per cell

```
44
Lattice="8.475 0.000 0.000 0.000 6.299 0.000 -4.570 0.000 9.303" Properties=species:S:1:pos:R:3 pbc="T T T"
Li -1.458 1.382 4.557
Li -3.743 1.768 9.209
Li 0.227 4.626 5.081
Li 2.512 4.823 0.429
Li 1.393 1.476 8.874
Li 3.678 1.674 4.223
Li 7.648 4.531 0.094
Li 5.363 4.918 4.746
Bi 1.291 0.212 2.721
Bi -0.994 2.937 7.373
Bi 4.899 3.362 1.930
Bi 2.614 6.087 6.582
B -3.436 4.069 7.480
B -1.151 5.380 2.828
B 3.223 1.189 0.979
B 0.938 1.960 5.630
B 2.967 4.339 3.673
B 0.682 5.110 8.324
B 5.056 0.919 6.475
B 7.341 2.230 1.823
O -2.559 4.237 6.431
O -0.274 5.212 1.780
O -2.106 1.303 6.417
O 0.179 1.847 1.766
O -2.895 3.444 8.614
O -0.610 6.005 3.963
O 2.175 0.416 0.553
O -0.110 2.733 5.204
O 2.838 4.608 2.314
O 0.554 4.841 6.966
O 1.836 1.336 4.788
O 4.120 1.814 0.137
O -0.215 4.485 9.166
O 2.069 4.964 4.515
O 3.352 1.458 2.338
O 1.067 1.692 6.989
O 4.015 3.566 4.099
O 1.730 5.883 8.750
O 4.515 0.294 5.341
O 6.800 2.856 0.689
O 3.726 4.453 7.538
O 6.011 4.996 2.886
O 4.180 1.088 7.523
O 6.464 2.062 2.872
```

(5)
CdFeBi2Rh | GGA-PBEsol | relaxed

Output
* E_form: 768 meV/atom
* SG: No. 123
* total DFT energy (no corrections): -23.03 eV per cell

```
5
Lattice="4.815 0.000 0.000 0.000 4.815 0.000 0.000 0.000 4.841" Properties=species:S:1:pos:R:3 pbc="T T T"
Cd 0.000 0.000 0.000
Fe 0.000 0.000 2.420
Bi 0.000 2.408 2.420
Bi 2.408 0.000 2.420
Rh 2.408 2.408 0.000
```

(6)
LiTaAs2 | GGA-PBEsol | relaxed

Output
* E_form: -446 meV/atom
* SG: No. 12
* excess energy over the best structure of this formula in the dataset: 0.00 eV/f.u.
* total DFT energy (no corrections): -26.51 eV per cell

```
4
Lattice="2.815 -1.776 0.000 2.815 1.776 0.000 -2.151 0.000 7.145" Properties=species:S:1:pos:R:3 pbc="T T T"
Li 0.000 0.000 0.000
Ta 1.740 0.000 3.573
As -0.191 0.000 5.290
As 3.670 0.000 1.855
```